Here is Ce4PuIn2 after structural relaxation from Alexandria via LeMat-Bulk. Energies are from PBE.

## Properties
Formation energy, eV per atom: 0.088
Volume, Å³/f.u.: 204.3
DFT total energy, eV/cell: -42.93
Symmetry: No. 139

The structure in CIF format:
```
data_Ce4PuIn2
_cell_length_a 5.7812
_cell_length_b 5.7812
_cell_length_c 7.3538
_cell_angle_alpha 113.15
_cell_angle_beta 113.15
_cell_angle_gamma 90.00
_space_group_name_H-M_alt 'P 1'
_space_group_IT_number 1
loop_
_space_group_symop_operation_xyz
'x,y,z'
loop_
_atom_site_label
_atom_site_type_symbol
_atom_site_fract_x
_atom_site_fract_y
_atom_site_fract_z
In1 In 0.6279 0.6279 0.2557
In2 In 0.3721 0.3721 0.7443
Ce1 Ce 0.7500 0.2500 0.5000
Ce2 Ce 0.2500 0.7500 0.5000
Ce3 Ce 0.5000 0.0000 0.0000
Ce4 Ce 0.0000 0.5000 0.0000
Pu1 Pu 0.0000 0.0000 0.0000
```

---

Here is NaAlSn after structural relaxation from Alexandria via LeMat-Bulk. Energies are from PBE.

## Properties
Formation energy, eV per atom: -0.013
Volume, Å³/f.u.: 70.8
DFT total energy, eV/cell: -9.10
Symmetry: No. 187

The structure in CIF format:
```
data_NaAlSn
_cell_length_a 5.0243
_cell_length_b 5.0243
_cell_length_c 3.2381
_cell_angle_alpha 90.00
_cell_angle_beta 90.00
_cell_angle_gamma 120.00
_space_group_name_H-M_alt 'P 1'
_space_group_IT_number 1
loop_
_space_group_symop_operation_xyz
'x,y,z'
loop_
_atom_site_label
_atom_site_type_symbol
_atom_site_fract_x
_atom_site_fract_y
_atom_site_fract_z
Na1 Na 0.6667 0.3333 0.5000
Sn1 Sn 0.3333 0.6667 0.0000
Al1 Al 0.0000 0.0000 0.0000
```

---

Here is Pr3Ho4Er after structural relaxation from Alexandria via LeMat-Bulk. Energies are from PBE.

## Properties
Formation energy, eV per atom: 0.133
Volume, Å³/f.u.: 267.0
DFT total energy, eV/cell: -36.15
Symmetry: No. 71

The structure in CIF format:
```
data_Pr3Ho4Er
_cell_length_a 3.4933
_cell_length_b 8.9391
_cell_length_c 8.9391
_cell_angle_alpha 81.92
_cell_angle_beta 78.73
_cell_angle_gamma 78.73
_space_group_name_H-M_alt 'P 1'
_space_group_IT_number 1
loop_
_space_group_symop_operation_xyz
'x,y,z'
loop_
_atom_site_label
_atom_site_type_symbol
_atom_site_fract_x
_atom_site_fract_y
_atom_site_fract_z
Pr1 Pr 0.7567 0.2433 0.2433
Pr2 Pr 0.2433 0.7567 0.7567
Pr3 Pr 0.0000 0.5000 0.5000
Ho1 Ho 0.6346 0.1100 0.6207
Ho2 Ho 0.3654 0.8900 0.3793
Ho3 Ho 0.3654 0.3793 0.8900
Ho4 Ho 0.6346 0.6207 0.1100
Er1 Er 0.5000 0.0000 0.0000
```

---

Here is KW2Se after structural relaxation from Alexandria via LeMat-Bulk. Energies are from PBE.

## Properties
Uncorrected formation energy, eV per atom: 1.258
Volume, Å³/f.u.: 88.9
DFT total energy, eV/cell: -25.46
Symmetry: No. 123

The structure in CIF format:
```
data_KW2Se
_cell_length_a 3.1858
_cell_length_b 3.1858
_cell_length_c 8.7550
_cell_angle_alpha 90.00
_cell_angle_beta 90.00
_cell_angle_gamma 90.00
_space_group_name_H-M_alt 'P 1'
_space_group_IT_number 1
loop_
_space_group_symop_operation_xyz
'x,y,z'
loop_
_atom_site_label
_atom_site_type_symbol
_atom_site_fract_x
_atom_site_fract_y
_atom_site_fract_z
K1 K 0.5000 0.5000 0.2500
Se1 Se 0.5000 0.5000 0.7500
W1 W 0.0000 0.0000 0.9033
W2 W 0.0000 0.0000 0.5967
```

---

Here is V2CoPtC after structural relaxation from Alexandria via LeMat-Bulk. Energies are from PBE.

## Properties
Formation energy, eV per atom: -0.293
Volume, Å³/f.u.: 59.6
DFT total energy, eV/cell: -42.07
Symmetry: No. 123

The structure in CIF format:
```
data_V2CoPtC
_cell_length_a 3.9763
_cell_length_b 3.9763
_cell_length_c 3.7712
_cell_angle_alpha 90.00
_cell_angle_beta 90.00
_cell_angle_gamma 90.00
_space_group_name_H-M_alt 'P 1'
_space_group_IT_number 1
loop_
_space_group_symop_operation_xyz
'x,y,z'
loop_
_atom_site_label
_atom_site_type_symbol
_atom_site_fract_x
_atom_site_fract_y
_atom_site_fract_z
C1 C 0.0000 0.0000 0.0000
Co1 Co 0.0000 0.0000 0.5000
Pt1 Pt 0.5000 0.5000 0.5000
V1 V 0.0000 0.5000 0.0000
V2 V 0.5000 0.0000 0.0000
```

---

Here is PmDy2HoEr2 after structural relaxation from Alexandria via LeMat-Bulk. Energies are from PBE.

## Properties
Formation energy, eV per atom: 0.280
Volume, Å³/f.u.: 195.0
DFT total energy, eV/cell: -51.96
Symmetry: No. 58

The structure in CIF format:
```
data_PmDy2HoEr2
_cell_length_a 3.3859
_cell_length_b 6.5018
_cell_length_c 17.7149
_cell_angle_alpha 90.00
_cell_angle_beta 90.00
_cell_angle_gamma 90.00
_space_group_name_H-M_alt 'P 1'
_space_group_IT_number 1
loop_
_space_group_symop_operation_xyz
'x,y,z'
loop_
_atom_site_label
_atom_site_type_symbol
_atom_site_fract_x
_atom_site_fract_y
_atom_site_fract_z
Pm1 Pm 0.0000 0.0000 0.0000
Pm2 Pm 0.5000 0.5000 0.5000
Dy1 Dy 0.5000 0.2754 0.3138
Dy2 Dy 0.0000 0.7754 0.1862
Dy3 Dy 0.5000 0.7246 0.6862
Dy4 Dy 0.0000 0.2246 0.8138
Ho1 Ho 0.5000 0.5000 0.0000
Ho2 Ho 0.0000 0.0000 0.5000
Er1 Er 0.5000 0.7779 0.3522
Er2 Er 0.5000 0.2221 0.6478
Er3 Er 0.0000 0.7221 0.8522
Er4 Er 0.0000 0.2779 0.1478
```

---

Here is Ac2MgCoH6 after structural relaxation from Alexandria via LeMat-Bulk. Energies are from PBE.

## Properties
Volume, Å³/f.u.: 122.0
DFT total energy, eV/cell: -39.57
Symmetry: No. 12

The structure in CIF format:
```
data_Ac2MgCoH6
_cell_length_a 5.4270
_cell_length_b 5.4270
_cell_length_c 5.6561
_cell_angle_alpha 61.30
_cell_angle_beta 61.29
_cell_angle_gamma 90.27
_space_group_name_H-M_alt 'P 1'
_space_group_IT_number 1
loop_
_space_group_symop_operation_xyz
'x,y,z'
loop_
_atom_site_label
_atom_site_type_symbol
_atom_site_fract_x
_atom_site_fract_y
_atom_site_fract_z
Ac1 Ac 0.7502 0.2498 0.5000
Ac2 Ac 0.2498 0.7502 0.5000
Mg1 Mg 0.0000 0.0000 0.0000
Co1 Co 0.5000 0.5000 0.0000
H1 H 0.2949 0.2949 0.4109
H2 H 0.7169 0.7169 0.0012
H3 H 0.2833 0.7167 0.0000
H4 H 0.7167 0.2833 0.0000
H5 H 0.2831 0.2831 0.9988
H6 H 0.7051 0.7051 0.5891
```

---

Here is KLa2Ni after structural relaxation from Alexandria via LeMat-Bulk. Energies are from PBE.

## Properties
Formation energy, eV per atom: 0.274
Volume, Å³/f.u.: 146.1
DFT total energy, eV/cell: -31.28
Symmetry: No. 122

The structure in CIF format:
```
data_KLa2Ni
_cell_length_a 8.8119
_cell_length_b 8.8119
_cell_length_c 7.2788
_cell_angle_alpha 52.75
_cell_angle_beta 52.75
_cell_angle_gamma 90.00
_space_group_name_H-M_alt 'P 1'
_space_group_IT_number 1
loop_
_space_group_symop_operation_xyz
'x,y,z'
loop_
_atom_site_label
_atom_site_type_symbol
_atom_site_fract_x
_atom_site_fract_y
_atom_site_fract_z
Ni1 Ni 0.0000 0.0000 0.0000
Ni2 Ni 0.7500 0.2500 0.5000
K1 K 0.5000 0.5000 0.0000
K2 K 0.2500 0.7500 0.5000
La1 La 0.7301 0.1250 0.2500
La2 La 0.0199 0.6250 0.2500
La3 La 0.3750 0.2699 0.7500
La4 La 0.8750 0.9801 0.7500
```

---

Here is Sc3GaO after structural relaxation from Alexandria via LeMat-Bulk. Energies are from PBE.

## Properties
Uncorrected formation energy, eV per atom: -1.255
Volume, Å³/f.u.: 99.1
DFT total energy, eV/cell: -33.26
Symmetry: No. 38

The structure in CIF format:
```
data_Sc3GaO
_cell_length_a 3.2958
_cell_length_b 5.6647
_cell_length_c 5.6647
_cell_angle_alpha 110.49
_cell_angle_beta 90.00
_cell_angle_gamma 90.00
_space_group_name_H-M_alt 'P 1'
_space_group_IT_number 1
loop_
_space_group_symop_operation_xyz
'x,y,z'
loop_
_atom_site_label
_atom_site_type_symbol
_atom_site_fract_x
_atom_site_fract_y
_atom_site_fract_z
Sc1 Sc 0.5000 0.1688 0.3592
Sc2 Sc 0.5000 0.6408 0.8312
Sc3 Sc 0.0000 0.1530 0.8470
O1 O 0.5000 0.0198 0.9802
Ga1 Ga 0.0000 0.6457 0.3543
```

---

Here is NiAs after structural relaxation from Alexandria via LeMat-Bulk. Energies are from PBE.

## Properties
Formation energy, eV per atom: -0.037
Volume, Å³/f.u.: 29.7
DFT total energy, eV/cell: -10.50
Symmetry: No. 225

The structure in CIF format:
```
data_NiAs
_cell_length_a 3.4757
_cell_length_b 3.4757
_cell_length_c 3.4757
_cell_angle_alpha 60.00
_cell_angle_beta 60.00
_cell_angle_gamma 60.00
_space_group_name_H-M_alt 'P 1'
_space_group_IT_number 1
loop_
_space_group_symop_operation_xyz
'x,y,z'
loop_
_atom_site_label
_atom_site_type_symbol
_atom_site_fract_x
_atom_site_fract_y
_atom_site_fract_z
As1 As 0.0000 0.0000 0.0000
Ni1 Ni 0.5000 0.5000 0.5000
```

---

Here is LaCrPCl2 after structural relaxation from Alexandria via LeMat-Bulk. Energies are from PBE.

## Properties
Uncorrected formation energy, eV per atom: -0.427
Volume, Å³/f.u.: 171.7
DFT total energy, eV/cell: -25.79
Symmetry: No. 123

The structure in CIF format:
```
data_LaCrPCl2
_cell_length_a 5.4260
_cell_length_b 5.4260
_cell_length_c 5.8305
_cell_angle_alpha 90.00
_cell_angle_beta 90.00
_cell_angle_gamma 90.00
_space_group_name_H-M_alt 'P 1'
_space_group_IT_number 1
loop_
_space_group_symop_operation_xyz
'x,y,z'
loop_
_atom_site_label
_atom_site_type_symbol
_atom_site_fract_x
_atom_site_fract_y
_atom_site_fract_z
Cr1 Cr 0.5000 0.5000 0.5000
Cl1 Cl 0.0000 0.5000 0.0000
Cl2 Cl 0.5000 0.0000 0.0000
P1 P 0.0000 0.0000 0.5000
La1 La 0.0000 0.0000 0.0000
```

---

Here is ScHgPb2 after structural relaxation from Alexandria via LeMat-Bulk. Energies are from PBE.

## Properties
Formation energy, eV per atom: -0.125
Volume, Å³/f.u.: 105.7
DFT total energy, eV/cell: -14.55
Symmetry: No. 47

The structure in CIF format:
```
data_ScHgPb2
_cell_length_a 3.5993
_cell_length_b 4.4558
_cell_length_c 6.5876
_cell_angle_alpha 90.00
_cell_angle_beta 90.00
_cell_angle_gamma 90.00
_space_group_name_H-M_alt 'P 1'
_space_group_IT_number 1
loop_
_space_group_symop_operation_xyz
'x,y,z'
loop_
_atom_site_label
_atom_site_type_symbol
_atom_site_fract_x
_atom_site_fract_y
_atom_site_fract_z
Pb1 Pb 0.0000 0.0000 0.0088
Pb2 Pb 0.0000 0.0000 0.4912
Sc1 Sc 0.5000 0.5000 0.2500
Hg1 Hg 0.5000 0.5000 0.7500
```